The following is a PBE calculation of a geometry-optimized ZrSc3Rh2 structure, from Alexandria via LeMat-Bulk. Values from VASP.

Geometry as Quantum ESPRESSO input:
```
&SYSTEM
  ibrav = 0, nat = 12, ntyp = 3
/
ATOMIC_SPECIES
Zr 91.22 Zr.upf
Sc 44.96 Sc.upf
Rh 102.91 Rh.upf
CELL_PARAMETERS angstrom
-3.144 6.368 3.303
3.144 -6.368 3.303
3.144 6.368 -3.303
ATOMIC_POSITIONS crystal
Zr 0.000 0.000 0.000
Zr 0.500 0.500 0.000
Sc 0.022 0.250 0.772
Sc 0.250 0.750 0.500
Sc 0.478 0.250 0.228
Sc 0.522 0.750 0.772
Sc 0.750 0.250 0.500
Sc 0.978 0.750 0.228
Rh 0.140 0.703 0.843
Rh 0.360 0.203 0.563
Rh 0.640 0.797 0.437
Rh 0.860 0.297 0.157
```

SG = No. 72
Fermi-level density of states = 0.997 states/eV per atom
VASP energy = -7.496 eV/atom
mass density = 5.4 Mg/m³